No. 1
# AcTl2Cd | Alexandria | PBE | relaxed
data_AcTl2Cd
_chemical_formula_sum 'Ac1 Tl2 Cd1'
_space_group_name_H-M_alt 'P 1'
_space_group_IT_number 1
_cell_length_a 6.322
_cell_length_b 6.322
_cell_length_c 6.322
_cell_angle_alpha 46.83
_cell_angle_beta 46.83
_cell_angle_gamma 46.83
loop_
_space_group_symop_operation_xyz
'x,y,z'
loop_
_atom_site_label
_atom_site_type_symbol
_atom_site_fract_x
_atom_site_fract_y
_atom_site_fract_z
Ac1 Ac 0.000 0.000 0.000
Tl1 Tl 0.228 0.228 0.228
Tl2 Tl 0.772 0.772 0.772
Cd1 Cd 0.500 0.500 0.500
# M_tot: 0.00 μB/f.u.
# Space-group type: No. 166
# Energy of formation from the pure elements: -247 meV per atom

No. 2
# AcTlCd4 | Alexandria | PBE | relaxed
data_AcTlCd4
_chemical_formula_sum 'Ac2 Tl2 Cd8'
_space_group_name_H-M_alt 'P 1'
_space_group_IT_number 1
_cell_length_a 9.353
_cell_length_b 9.353
_cell_length_c 7.507
_cell_angle_alpha 90.00
_cell_angle_beta 90.00
_cell_angle_gamma 150.07
loop_
_space_group_symop_operation_xyz
'x,y,z'
loop_
_atom_site_label
_atom_site_type_symbol
_atom_site_fract_x
_atom_site_fract_y
_atom_site_fract_z
Ac1 Ac 0.125 0.875 0.750
Ac2 Ac 0.875 0.125 0.250
Tl1 Tl 0.230 0.770 0.250
Tl2 Tl 0.770 0.230 0.750
Cd1 Cd 0.060 0.940 0.250
Cd2 Cd 0.337 0.663 0.557
Cd3 Cd 0.337 0.663 0.943
Cd4 Cd 0.500 0.500 0.000
Cd5 Cd 0.500 0.500 0.500
Cd6 Cd 0.663 0.337 0.057
Cd7 Cd 0.663 0.337 0.443
Cd8 Cd 0.940 0.060 0.750
# ΔE to the lowest computed polymorph: 1.6 kJ per mole of atoms
# M_tot: 0.00 μB/f.u.
# Space-group type: No. 63
# Energy of formation from the pure elements: -175 meV per atom